AgGeSeO: relaxed, PBE-GGA.

Unit cell a=3.7637 b=3.7637 c=11.3394 alpha=90.00 beta=90.00 gamma=90.00
Closest atoms and distances in Å follow each position.
Atoms (fractional coordinates):
1 Ag 0.7500 0.2500 0.0000  4 Ag 2.66, 4 Se 2.68
2 Ag 0.2500 0.7500 0.0000  4 Ag 2.66, 4 Se 2.68
3 Ge 0.7500 0.7500 0.4058  1 O 1.79
4 Ge 0.2500 0.2500 0.5942  1 O 1.79
5 O 0.2500 0.2500 0.4361  1 Ge 1.79
6 O 0.7500 0.7500 0.5639  1 Ge 1.79
7 Se 0.2500 0.2500 0.1682  4 Ag 2.68
8 Se 0.7500 0.7500 0.8318  4 Ag 2.68

Output
The energy above the lowest structure with this stoichiometry comes out at 338 meV/atom. As for the space-group type: P4/nmm.